[1]
Here is crystalline Cd4Ag7Pd at its relaxed geometry from Alexandria via LeMat-Bulk. Energies are from PBE.

Structure (extended XYZ):
```
12
Lattice="5.1571 0.0000 0.0000 2.5785 9.0648 -0.2352 2.5785 0.0528 5.2454" Properties=species:S:1:pos:R:3 pbc="T T T"
Cd 2.5785 3.3901 1.3691
Cd 5.1571 1.9910 2.0516
Cd 7.7356 5.7275 3.6412
Cd 5.1571 7.1266 2.9586
Pd 0.0000 0.0000 0.0000
Ag 2.5785 0.0000 0.0000
Ag 7.7356 8.3204 2.4108
Ag 2.5785 6.2606 0.5668
Ag 2.5785 0.7972 2.5994
Ag 5.1571 4.8833 1.1307
Ag 7.7356 2.8570 4.4435
Ag 5.1571 4.2343 3.8796
```

Results
ΔE to the lowest computed polymorph (meV/atom): 156
Energy of formation (kcal/mol of atoms): 2.25
Symmetry: No. 12

***

[2]
Here is crystalline Cd6AgPd5 at its relaxed geometry from Alexandria via LeMat-Bulk. Energies are from PBE.

Structure (extended XYZ):
```
12
Lattice="-3.0791 1.8082 -2.5657 6.8421 1.1189 -3.6551 -1.9127 -7.5652 0.7316" Properties=species:S:1:pos:R:3 pbc="T T T"
Pd -2.0394 -5.2597 -1.2591
Pd 0.9251 -2.3190 -2.7446
Pd 3.9476 -1.7522 -2.2048
Pd 0.9818 -4.6941 -0.7187
Pd 3.8897 0.6216 -4.2300
Cd -1.0073 -2.6535 -0.6612
Cd 2.8575 -1.9846 -4.8280
Cd -1.0579 -0.3034 -2.7119
Cd 1.9529 0.2829 -2.1444
Cd -0.1027 -4.9210 -3.3448
Cd 2.9081 -4.3347 -2.7773
Ag 0.0000 0.0000 0.0000
```

Results
ΔE to the lowest computed polymorph (meV/atom): 0
Energy of formation (kcal/mol of atoms): -7.85
Symmetry: No. 71

***

[3]
Here is crystalline Cd2AgPd6 at its relaxed geometry from Alexandria via LeMat-Bulk. Energies are from PBE.

Structure (extended XYZ):
```
9
Lattice="-2.2991 2.5724 2.2766 -1.8793 -1.1526 -4.3479 -2.2161 -6.4367 5.0351" Properties=species:S:1:pos:R:3 pbc="T T T"
Cd -2.5780 -1.6694 -0.7171
Cd -3.8164 -3.3474 3.6808
Pd -4.1348 -5.9915 2.5945
Pd -1.8925 -5.3955 4.1855
Pd -4.5020 0.3786 -1.2217
Pd -2.9887 -1.1603 2.0455
Pd -3.4058 -3.8566 0.9183
Pd -2.2597 0.9746 0.3693
Ag -1.1080 -3.2183 2.5175
```

Results
ΔE to the lowest computed polymorph (meV/atom): 0
Energy of formation (kcal/mol of atoms): -5.42
Symmetry: No. 12

***

[4]
Here is crystalline Cd3Ag2Pd7 at its relaxed geometry from Alexandria via LeMat-Bulk. Energies are from PBE.

Structure (extended XYZ):
```
12
Lattice="-0.9484 -1.4955 -2.2811 -0.7780 -3.6717 2.7308 -14.5886 6.9911 1.4819" Properties=species:S:1:pos:R:3 pbc="T T T"
Pd -12.6780 4.9274 2.0405
Pd -2.7827 -0.4842 -0.3535
Pd 0.0000 0.0000 0.0000
Pd -8.6512 2.0697 0.4120
Pd -13.5323 2.3080 2.2851
Pd -2.6886 -1.6080 2.1721
Pd -7.6638 -0.2458 1.5196
Ag -11.1644 2.8689 0.9329
Ag -5.1506 -1.0450 0.9987
Cd -9.5621 1.3155 3.1131
Cd -5.8045 2.0039 1.0995
Cd -0.8632 -2.5836 0.2248
```

Results
ΔE to the lowest computed polymorph (meV/atom): 17
Energy of formation (kcal/mol of atoms): -2.04
Symmetry: No. 10

***

[5]
Here is crystalline CdAgPd4 at its relaxed geometry from Alexandria via LeMat-Bulk. Energies are from PBE.

Structure (extended XYZ):
```
12
Lattice="-2.4254 3.4442 -3.5003 -2.0675 -5.0133 0.6163 -2.3599 3.3920 7.1995" Properties=species:S:1:pos:R:3 pbc="T T T"
Cd -4.0609 2.8165 3.4428
Cd -2.7919 -0.9936 0.8727
Pd -3.1111 0.2126 3.4051
Pd -2.0209 0.6410 -1.2291
Pd -3.2964 4.4501 1.3378
Pd -3.5563 -2.6272 2.9777
Pd -5.0055 5.4223 3.4853
Pd -1.8472 -3.5994 0.8302
Pd -4.8319 1.1819 5.5446
Pd -3.7417 1.6103 0.9104
Ag -2.9704 3.2349 -1.1860
Ag -3.8823 -1.4121 5.5015
```

Results
ΔE to the lowest computed polymorph (meV/atom): 113
Energy of formation (kcal/mol of atoms): -1.23
Symmetry: No. 15

***

[6]
Here is crystalline Cd8AgPd5 at its relaxed geometry from Alexandria via LeMat-Bulk. Energies are from PBE.

Structure (extended XYZ):
```
14
Lattice="7.0658 0.0003 -0.0005 -2.3905 6.6491 0.0005 -2.2848 -3.3619 5.7795" Properties=species:S:1:pos:R:3 pbc="T T T"
Cd -2.2000 3.2392 2.9577
Cd 4.9202 -1.8057 4.0069
Cd 0.6786 0.3920 2.2286
Cd 1.4935 3.1675 1.3535
Cd 1.5077 -0.3093 5.1642
Cd 3.9798 0.4778 2.0837
Cd -0.9734 4.7837 0.3051
Cd 0.1556 3.2051 5.0185
Pd -1.0148 1.9730 0.7439
Pd -0.0848 -2.5732 5.6616
Pd 2.3905 -1.6808 2.8895
Pd 2.3883 2.0296 3.8063
Pd 3.4923 5.1457 1.3473
Ag -1.1424 0.8032 4.3348
```

Results
Energy of formation (kcal/mol of atoms): -5.02
Symmetry: No. 82

***

[7]
Here is crystalline Cd2Ag3Pd2 at its relaxed geometry from Alexandria via LeMat-Bulk. Energies are from PBE.

Structure (extended XYZ):
```
7
Lattice="-0.5091 -3.8623 -1.6627 3.7140 -1.5612 -2.9058 5.6929 -4.2807 2.8055" Properties=species:S:1:pos:R:3 pbc="T T T"
Cd 3.6343 -2.3530 -1.0422
Cd 5.2636 -7.3513 -0.7208
Ag -0.2545 -1.9312 -0.8314
Ag 5.4364 -4.5458 -1.8955
Ag 3.4614 -5.1585 0.1325
Pd 7.4119 -5.6032 -0.0441
Pd 1.4859 -4.1011 -1.7189
```

Results
ΔE to the lowest computed polymorph (meV/atom): 0
Energy of formation (kcal/mol of atoms): -3.80
Symmetry: No. 12

***

[8]
Here is crystalline Cd2Ag6Pd at its relaxed geometry from Alexandria via LeMat-Bulk. Energies are from PBE.

Structure (extended XYZ):
```
18
Lattice="7.2733 0.1447 0.5629 2.8547 6.3472 3.1046 -0.0479 0.1447 7.2949" Properties=species:S:1:pos:R:3 pbc="T T T"
Cd 4.3058 0.6605 6.3254
Cd 5.7743 5.9760 4.6370
Cd 2.7100 2.8024 4.5899
Cd 7.3701 3.8341 6.3725
Ag 4.5095 3.5320 6.8069
Ag 0.8995 2.0090 2.4630
Ag 5.1020 6.2782 7.4512
Ag 7.0382 1.0809 5.5424
Ag 9.1806 4.6275 8.4994
Ag 5.5706 3.1045 4.1555
Ag 6.2737 1.4539 8.3076
Ag 4.9781 0.3584 3.5112
Ag 3.8064 5.1827 2.6549
Ag 6.3611 4.2545 9.0297
Ag 3.0419 5.5556 5.4201
Ag 3.7190 2.3820 1.9327
Pd 8.2761 4.9051 3.9380
Pd 1.8040 1.7315 7.0244
```

Results
ΔE to the lowest computed polymorph (meV/atom): 0
Energy of formation (kcal/mol of atoms): -0.79
Symmetry: No. 15

***

What did the eighth record say?
Here is crystalline Cd2Ag6Pd at its relaxed geometry from Alexandria via LeMat-Bulk. Energies are from PBE.

Structure (extended XYZ):
```
18
Lattice="7.2733 0.1447 0.5629 2.8547 6.3472 3.1046 -0.0479 0.1447 7.2949" Properties=species:S:1:pos:R:3 pbc="T T T"
Cd 4.3058 0.6605 6.3254
Cd 5.7743 5.9760 4.6370
Cd 2.7100 2.8024 4.5899
Cd 7.3701 3.8341 6.3725
Ag 4.5095 3.5320 6.8069
Ag 0.8995 2.0090 2.4630
Ag 5.1020 6.2782 7.4512
Ag 7.0382 1.0809 5.5424
Ag 9.1806 4.6275 8.4994
Ag 5.5706 3.1045 4.1555
Ag 6.2737 1.4539 8.3076
Ag 4.9781 0.3584 3.5112
Ag 3.8064 5.1827 2.6549
Ag 6.3611 4.2545 9.0297
Ag 3.0419 5.5556 5.4201
Ag 3.7190 2.3820 1.9327
Pd 8.2761 4.9051 3.9380
Pd 1.8040 1.7315 7.0244
```

Results
ΔE to the lowest computed polymorph (meV/atom): 0
Energy of formation (kcal/mol of atoms): -0.79
Symmetry: No. 15